Ag2AsW | PBE | relaxed

Results
ρ (Mg/m³): 11.385
Uncorrected energy (eV/atom): -5.33
ΔH_f (0 K) (eV per atom): 0.499

Cell lengths 5.571, 5.571, 2.783 Å; angles 82.92, 82.92, 123.86 degrees
Element x y z (fractional)
As (0.500, 0.000, 0.500)
Ag (0.500, 0.500, 0.000)
Ag (0.000, 0.000, 0.000)
W (0.000, 0.500, 0.500)



AgAsW | PBE | relaxed

Results
Energy relative to the lowest polymorph listed for this composition (eV per atom): 0.177
ρ (Mg/m³): 11.981
Uncorrected energy (eV/atom): -6.24
ΔH_f (0 K) (eV per atom): 0.576

Cell lengths 4.547, 4.547, 2.838 Å; angles 90.00, 90.00, 120.00 degrees
Element x y z (fractional)
As (0.333, 0.667, 0.501)
W (0.667, 0.333, 0.500)
Ag (0.000, 0.000, 0.999)



AgAs2W | PBE | relaxed

Results
Energy relative to the lowest polymorph listed for this composition (eV per atom): 0.361
ρ (Mg/m³): 10.923
Uncorrected energy (eV/atom): -5.78
ΔH_f (0 K) (eV per atom): 0.492

Cell lengths 4.524, 4.525, 3.279 Å; angles 90.00, 90.00, 90.09 degrees
Element x y z (fractional)
As (0.000, 0.000, 0.000)
Ag (0.000, 0.500, 0.500)
W (0.500, 0.000, 0.500)
As (0.500, 0.500, 0.000)



AgAs2W | PBE | relaxed

Results
Energy relative to the lowest polymorph listed for this composition (eV per atom): 0.240
ρ (Mg/m³): 10.411
Uncorrected energy (eV/atom): -5.90
ΔH_f (0 K) (eV per atom): 0.372

Cell lengths 5.006, 5.006, 4.552 Å; angles 78.12, 78.12, 39.24 degrees
Element x y z (fractional)
Ag (0.259, 0.259, 0.176)
As (0.002, 0.002, 0.107)
As (0.761, 0.761, 0.662)
W (0.478, 0.478, 0.555)